The following is a DFT calculation (GGA-PBE) of a relaxed Na2PrScSe4 crystal.

Unit cell a=4.1368 b=7.1688 c=7.4019 alpha=108.84 beta=90.00 gamma=90.00
With the nearest neighbours (Å) after each atom.
Positions (direct):
Na: 0.5000 0.0000 0.5000  6 Se 2.98
Na: 0.0000 0.5000 0.5000  6 Se 3.13-3.15
Pr: 0.5000 0.5000 0.0000  6 Se 2.95-2.96
Sc: 0.0000 0.0000 0.0000  6 Se 2.77-2.80
Se: 0.5000 0.2225 0.2224  2 Sc 2.80, 1 Pr 2.96, 3 Na 2.98-3.13
Se: 0.5000 0.7775 0.7776  2 Sc 2.80, 1 Pr 2.96, 3 Na 2.98-3.13
Se: 0.0000 0.2354 0.7676  1 Sc 2.77, 2 Pr 2.95, 2 Na 2.98
Se: 0.0000 0.7646 0.2324  1 Sc 2.77, 2 Pr 2.95, 2 Na 2.98

## Properties
For the raw formation energy, the calculation gives -1.604 eV per atom. As for the crystal system: monoclinic.

=====

The following is a DFT calculation (GGA-PBE) of a relaxed In2Au crystal.

Unit cell a=5.3463 b=5.3463 c=2.9038 alpha=90.00 beta=90.00 gamma=120.00
With the nearest neighbours (Å) after each atom.
Positions (direct):
Au: 0.0000 0.0000 0.0000  2 Au 2.90
In: 0.3333 0.6667 0.5000  5 In 2.90-3.09
In: 0.6667 0.3333 0.5000  5 In 2.90-3.09

## Properties
As for the crystal system: hexagonal. The calculation puts the energy relative to the elements at 99 meV/atom.

=====

The following is a DFT calculation (GGA-PBE) of a relaxed LaPbCl2 crystal.

Unit cell a=6.7391 b=6.7391 c=6.3000 alpha=52.42 beta=52.42 gamma=33.55
With the nearest neighbours (Å) after each atom.
Positions (direct):
Pb: 0.1976 0.1976 0.3816  1 Cl 2.89
Cl: 0.0199 0.0199 0.9758  2 La 2.86, 1 Pb 2.89
Cl: 0.8034 0.8034 0.7880  2 La 2.91
La: 0.4791 0.4791 0.3547  4 Cl 2.86-2.91

## Properties
For the raw formation energy, the calculation gives -1.345 eV per atom. As for the crystal system: monoclinic. The energy relative to the lowest polymorph listed for this composition is 1.1 kJ per mole of atoms.

=====

The following is a DFT calculation (GGA-PBE) of a relaxed ZnSi2I crystal.

Unit cell a=4.8946 b=4.8946 c=4.8946 alpha=60.00 beta=60.00 gamma=60.00
With the nearest neighbours (Å) after each atom.
Positions (direct):
I: 0.5000 0.5000 0.5000  8 Si 3.00
Zn: 0.0000 0.0000 0.0000  8 Si 3.00
Si: 0.2500 0.2500 0.2500  4 I 3.00, 4 Zn 3.00
Si: 0.7500 0.7500 0.7500  4 I 3.00, 4 Zn 3.00

## Properties
For the raw formation energy, the calculation gives 0.882 eV per atom. As for the crystal system: cubic. The energy relative to the lowest polymorph listed for this composition is 19.9 kJ per mole of atoms.

=====

The following is a DFT calculation (GGA-PBE) of a relaxed TlNi2Br crystal.

Unit cell a=3.3668 b=5.8912 c=4.2950 alpha=90.10 beta=90.00 gamma=90.00
With the nearest neighbours (Å) after each atom.
Positions (direct):
Br: 0.5000 0.7749 0.9982  3 Ni 2.35-2.45
Ni: 0.0000 0.0534 0.0004  2 Br 2.35, 2 Ni 2.47, 1 Tl 2.63
Ni: 0.5000 0.3595 0.0008  1 Br 2.45, 2 Ni 2.47
Tl: 0.0000 0.3122 0.5006  6 Ni 2.63-2.74

## Properties
For the raw formation energy, the calculation gives 0.098 eV per atom. As for the crystal system: monoclinic. The energy relative to the lowest polymorph listed for this composition is 0.0 kJ per mole of atoms.

=====

The following is a DFT calculation (GGA-PBE) of a relaxed BeAlSi2 crystal.

Unit cell a=4.2436 b=4.2436 c=4.2436 alpha=60.00 beta=60.00 gamma=60.00
With the nearest neighbours (Å) after each atom.
Positions (direct):
Be: 0.7500 0.7500 0.7500  4 Al 2.60, 4 Si 2.60
Si: 0.0000 0.0000 0.0000  4 Be 2.60, 4 Si 2.60
Si: 0.2500 0.2500 0.2500  4 Al 2.60, 4 Si 2.60
Al: 0.5000 0.5000 0.5000  4 Be 2.60, 4 Si 2.60

## Properties
For the raw formation energy, the calculation gives 0.426 eV per atom. As for the crystal system: cubic. The energy relative to the lowest polymorph listed for this composition is 10.9 kJ per mole of atoms.

=====

The following is a DFT calculation (GGA-PBE) of a relaxed Ti2Be2Hg crystal.

Unit cell a=3.5160 b=3.3620 c=6.3161 alpha=105.44 beta=90.00 gamma=90.00
With the nearest neighbours (Å) after each atom.
Positions (direct):
Ti: 0.5000 0.6500 0.3000  6 Be 2.51-2.52
Ti: 0.5000 0.3500 0.7000  6 Be 2.51-2.52
Be: 0.0000 0.2012 0.4025  2 Be 2.06
Be: 0.0000 0.7988 0.5975  2 Be 2.06
Hg: 0.0000 0.0000 0.0000  2 Be 2.45

## Properties
As for the crystal system: orthorhombic. The calculation puts the energy relative to the elements at -131 meV/atom. The energy relative to the lowest polymorph listed for this composition is 0.8 kJ per mole of atoms.

=====

The following is a DFT calculation (GGA-PBE) of a relaxed Zn2Ag6Sn crystal.

Unit cell a=5.0126 b=8.2842 c=8.2842 alpha=72.33 beta=84.42 gamma=84.42
With the nearest neighbours (Å) after each atom.
Positions (direct):
Zn: 0.4080 0.5437 0.7837  10 Ag 2.74-3.04
Zn: 0.0920 0.2163 0.4563  10 Ag 2.74-3.04
Zn: 0.5920 0.4563 0.2163  10 Ag 2.74-3.04
Zn: 0.9080 0.7837 0.5437  10 Ag 2.74-3.04
Ag: 0.4765 0.6758 0.4354  4 Zn 2.74-3.04, 5 Ag 2.78-2.96, 1 Sn 2.94
Ag: 0.0235 0.5646 0.3242  4 Zn 2.74-3.04, 5 Ag 2.78-2.96, 1 Sn 2.94
Ag: 0.5235 0.3242 0.5646  4 Zn 2.74-3.04, 5 Ag 2.78-2.96, 1 Sn 2.94
Ag: 0.9765 0.4354 0.6758  4 Zn 2.74-3.04, 5 Ag 2.78-2.96, 1 Sn 2.94
Ag: 0.6577 0.1040 0.3567  4 Zn 2.74-3.01, 5 Ag 2.86-2.94, 1 Sn 3.06
Ag: 0.8423 0.6433 0.8960  4 Zn 2.74-3.01, 5 Ag 2.86-2.94, 1 Sn 3.06
Ag: 0.3423 0.8960 0.6433  4 Zn 2.74-3.01, 5 Ag 2.86-2.94, 1 Sn 3.06
Ag: 0.1577 0.3567 0.1040  4 Zn 2.74-3.01, 5 Ag 2.86-2.94, 1 Sn 3.06
Ag: 0.3048 0.7394 0.0135  2 Zn 2.80-2.84, 4 Ag 2.85-2.94, 3 Sn 2.94-3.06
Ag: 0.1952 0.9865 0.2606  2 Zn 2.80-2.84, 4 Ag 2.85-2.94, 3 Sn 2.94-3.06
Ag: 0.6952 0.2606 0.9865  2 Zn 2.80-2.84, 4 Ag 2.85-2.94, 3 Sn 2.94-3.06
Ag: 0.8048 0.0135 0.7394  2 Zn 2.80-2.84, 4 Ag 2.85-2.94, 3 Sn 2.94-3.06
Sn: 0.2500 0.1204 0.8796  10 Ag 2.94-3.06
Sn: 0.7500 0.8796 0.1204  10 Ag 2.94-3.06

## Properties
As for the crystal system: monoclinic. The calculation puts the energy relative to the elements at 21 meV/atom.

=====

The following is a DFT calculation (GGA-PBE) of a relaxed Al2SiNi crystal.

Unit cell a=3.8479 b=4.9732 c=5.9944 alpha=90.00 beta=90.00 gamma=90.00
With the nearest neighbours (Å) after each atom.
Positions (direct):
Al: 0.5000 0.0000 0.0000  4 Ni 2.49, 2 Al 2.49, 2 Si 2.75
Al: 0.5000 0.5000 0.0000  4 Ni 2.49, 2 Al 2.49, 2 Si 2.75
Al: 0.0000 0.2500 0.7159  3 Ni 2.59-2.67, 2 Si 2.66, 4 Al 2.85
Al: 0.0000 0.7500 0.2841  3 Ni 2.59-2.67, 2 Si 2.66, 4 Al 2.85
Si: 0.5000 0.2500 0.4092  2 Ni 2.43, 2 Al 2.66, 2 Si 2.71
Si: 0.5000 0.7500 0.5908  2 Ni 2.43, 2 Al 2.66, 2 Si 2.71
Ni: 0.0000 0.2500 0.1610  2 Si 2.43, 7 Al 2.49-2.67
Ni: 0.0000 0.7500 0.8390  2 Si 2.43, 7 Al 2.49-2.67

## Properties
For the raw formation energy, the calculation gives -0.165 eV per atom. As for the crystal system: orthorhombic. The energy relative to the lowest polymorph listed for this composition is 14.3 kJ per mole of atoms.

=====

The following is a DFT calculation (GGA-PBE) of a relaxed TaBeCr crystal.

Unit cell a=4.5830 b=4.5819 c=4.5819 alpha=140.16 beta=140.17 gamma=57.60
With the nearest neighbours (Å) after each atom.
Positions (direct):
Cr: 0.3473 0.3472 0.0001  4 Be 2.48, 5 Ta 2.55-2.65
Be: 0.9880 0.9880 0.0000  4 Cr 2.48, 5 Ta 2.59-2.63
Ta: 0.6647 0.6649 0.9999  5 Cr 2.55-2.65, 5 Be 2.59-2.63

## Properties
As for the crystal system: tetragonal. The calculation puts the energy relative to the elements at 90 meV/atom. The energy relative to the lowest polymorph listed for this composition is 19.5 kJ per mole of atoms.

=====

The following is a DFT calculation (GGA-PBE) of a relaxed SmDy12Sc6 crystal.

Unit cell a=9.0278 b=9.0278 c=9.0278 alpha=107.44 beta=107.44 gamma=107.44
With the nearest neighbours (Å) after each atom.
Positions (direct):
Sm: 0.0000 0.0000 0.0000  6 Dy 3.54
Dy: 0.8877 0.1123 0.5000  4 Sc 3.19-3.30, 3 Dy 3.27-3.52
Dy: 0.3770 0.1519 0.3770  1 Sc 2.95, 2 Dy 3.28
Dy: 0.3770 0.3770 0.1519  1 Sc 2.95, 2 Dy 3.28
Dy: 0.8481 0.6230 0.6230  1 Sc 2.95, 2 Dy 3.28
Dy: 0.6230 0.6230 0.8481  1 Sc 2.95, 2 Dy 3.28
Dy: 0.6230 0.8481 0.6230  1 Sc 2.95, 2 Dy 3.28
Dy: 0.5000 0.8877 0.1123  4 Sc 3.19-3.30, 3 Dy 3.27-3.52
Dy: 0.1123 0.5000 0.8877  4 Sc 3.19-3.30, 3 Dy 3.27-3.52
Dy: 0.1123 0.8877 0.5000  4 Sc 3.19-3.30, 3 Dy 3.27-3.52
Dy: 0.5000 0.1123 0.8877  4 Sc 3.19-3.30, 3 Dy 3.27-3.52
Dy: 0.8877 0.5000 0.1123  4 Sc 3.19-3.30, 3 Dy 3.27-3.52
Dy: 0.1519 0.3770 0.3770  1 Sc 2.95, 2 Dy 3.28
Sc: 0.6910 0.2746 0.6910  5 Dy 2.95-3.30
Sc: 0.6910 0.6910 0.2746  5 Dy 2.95-3.30
Sc: 0.2746 0.6910 0.6910  5 Dy 2.95-3.30
Sc: 0.3090 0.3090 0.7254  5 Dy 2.95-3.30
Sc: 0.3090 0.7254 0.3090  5 Dy 2.95-3.30
Sc: 0.7254 0.3090 0.3090  5 Dy 2.95-3.30

## Properties
As for the crystal system: trigonal. The calculation puts the energy relative to the elements at 429 meV/atom. The energy relative to the lowest polymorph listed for this composition is 18.0 kJ per mole of atoms.

=====

The following is a DFT calculation (GGA-PBE) of a relaxed CsKRbSn crystal.

Unit cell a=6.5127 b=6.5127 c=6.5127 alpha=60.00 beta=60.00 gamma=60.00
With the nearest neighbours (Å) after each atom.
Positions (direct):
Cs: 0.7500 0.7500 0.7500  4 K 3.99, 4 Rb 3.99
K: 0.0000 0.0000 0.0000  4 Cs 3.99, 4 Sn 3.99
Sn: 0.2500 0.2500 0.2500  4 K 3.99, 4 Rb 3.99
Rb: 0.5000 0.5000 0.5000  4 Sn 3.99, 4 Cs 3.99

## Properties
As for the crystal system: cubic. The calculation puts the energy relative to the elements at -26 meV/atom.

=====

| no. | DFT total energy (eV per cell) |
| --- | --- |
| 1 | -40.52 |
| 2 | -8.46 |
| 3 | -17.71 |
| 4 | -10.14 |
| 5 | -15.21 |
| 6 | -16.61 |
| 7 | -24.20 |
| 8 | -46.94 |
| 9 | -38.70 |
| 10 | -24.93 |
| 11 | -89.78 |
| 12 | -7.03 |